# Ag2IrPt, optimized geometry, DFT PBE
# Calculated total energy (eV per atom): -4.85
# ΔE_f (eV/atom): 0.30
# Excess energy over the best structure of this formula in the dataset (meV per atom): 136
data_Ag2IrPt
_chemical_formula_sum 'Ag2 Ir1 Pt1'
_space_group_name_H-M_alt 'P 4 m m'
_space_group_IT_number 99
_cell_length_a 3.3003
_cell_length_b 3.3003
_cell_length_c 6.1718
_cell_angle_alpha 90.00
_cell_angle_beta 90.00
_cell_angle_gamma 90.00
loop_
_space_group_symop_operation_xyz
'x,y,z'
'-y,x,z'
'-x,-y,z'
'y,-x,z'
'-x,y,z'
'y,x,z'
'x,-y,z'
'-y,-x,z'
loop_
_atom_site_label
_atom_site_type_symbol
_atom_site_fract_x
_atom_site_fract_y
_atom_site_fract_z
Ag1 Ag 0.0000 0.0000 0.0000
Ag2 Ag 0.5000 0.5000 0.2558
Ir1 Ir 0.0000 0.0000 0.5294
Pt1 Pt 0.5000 0.5000 0.7219